# Tc2HW | Alexandria | PBE | relaxed
data_Tc2HW
_chemical_formula_sum 'Tc2 H1 W1'
_cell_length_a 2.843
_cell_length_b 2.843
_cell_length_c 6.147
_cell_angle_alpha 90.00
_cell_angle_beta 90.00
_cell_angle_gamma 90.00
_space_group_name_H-M_alt 'P 4/m m m'
_space_group_IT_number 123
_space_group_name_Hall '-P 4 2'
loop_
_atom_site_label
_atom_site_type_symbol
_atom_site_fract_x
_atom_site_fract_y
_atom_site_fract_z
Tc1 Tc 0.000 0.000 0.198
H1 H 0.500 0.500 0.000
W1 W 0.500 0.500 0.500
# Energy above the most stable polymorph in this dataset, eV per formula unit: 0.39
# DOS at the Fermi energy, states/eV per atom: 0.748